# Fe2HF4

Crystalline Fe2HF4 at its relaxed geometry (PBE+U, the Alexandria database).

a b c (Å): 6.467 6.467 6.467
angles (deg): 149.03 149.03 44.37
Positions (direct):
Fe 0.135 0.135 0.000
Fe 0.865 0.865 0.000
H 0.500 0.500 0.000
F 0.000 0.500 0.500
F 0.304 0.304 0.000
F 0.500 0.000 0.500
F 0.696 0.696 0.000

Results
Total moment: 1.079 μB/atom
Uncorrected energy: -4.516 eV per atom
Fermi-level density of states: 1.74 states/eV per cell
Space-group type: No. 139
Calculated volume: 71 Å³ per cell